No. 1
Density functional theory data (PBE-GGA) for crystalline BaBe2FeHg at its relaxed geometry.

```
5
Lattice="-2.0339 -2.5545 -3.2460 3.6641 -4.8995 1.5598 -3.1499 -1.3813 3.0608" Properties=species:S:1:pos:R:3 pbc="T T T"
Be -1.0170 -1.2772 -1.6230
Be -1.5750 -0.6906 1.5304
Fe -0.7598 -4.4176 0.6873
Ba 1.8321 -2.4498 0.7799
Hg 0.0000 0.0000 0.0000
```

## Properties
Spin magnetization, μB/atom: 0.5499
Formation energy, eV/atom: 1.09
DFT total energy, eV per formula unit: -12.678



No. 2
Density functional theory data (PBE-GGA) for crystalline BaBeFePt2 at its relaxed geometry.

```
5
Lattice="4.3234 0.0000 0.0000 0.0000 5.3804 0.0000 0.0000 0.0000 4.3234" Properties=species:S:1:pos:R:3 pbc="T T T"
Ba 0.0000 2.6902 0.0000
Pt 2.1617 0.0000 0.0000
Be 0.0000 0.0000 0.0000
Pt 0.0000 0.0000 2.1617
Fe 2.1617 2.6902 2.1617
```

## Properties
Spin magnetization, μB/atom: 0.5474
Formation energy, eV/atom: 0.44
DFT total energy, eV per formula unit: -24.005



No. 3
Density functional theory data (PBE-GGA) for crystalline BaBe2FeSi at its relaxed geometry.

```
5
Lattice="-0.0499 -1.0722 4.3599 3.5755 -2.4420 -0.5596 2.5761 3.5642 0.9059" Properties=species:S:1:pos:R:3 pbc="T T T"
Be 1.2880 1.7821 0.4530
Ba 3.0509 0.0251 2.3531
Si 1.7877 -1.2210 -0.2798
Be -0.0249 -0.5361 2.1800
Fe 0.0000 0.0000 0.0000
```

## Properties
Spin magnetization, μB/atom: 0.0000
Formation energy from raw total energies, eV/atom: 0.09
DFT total energy, eV per formula unit: -22.832



No. 4
Density functional theory data (PBE-GGA) for crystalline BaBeGa3 at its relaxed geometry.

```
5
Lattice="6.0610 0.0000 0.0000 0.0000 6.0610 0.0000 0.0000 0.0000 6.0610" Properties=species:S:1:pos:R:3 pbc="T T T"
Ga 0.0000 3.0305 0.0000
Ga 0.0000 0.0000 3.0305
Ba 0.0000 0.0000 0.0000
Be 3.0305 3.0305 3.0305
Ga 3.0305 0.0000 0.0000
```

## Properties
Energy above the lowest structure with this stoichiometry, meV per atom: 1525
Spin magnetization, μB/atom: 0.0000
Formation energy, eV/atom: 1.51
DFT total energy, eV per formula unit: -7.201



No. 5
Density functional theory data (PBE-GGA) for crystalline BaBeGa3 at its relaxed geometry.

```
5
Lattice="4.8290 0.0000 0.0000 0.0000 4.8290 0.0000 0.0000 0.0000 4.8290" Properties=species:S:1:pos:R:3 pbc="T T T"
Ba 2.4145 2.4145 2.4145
Ga 0.0000 2.4145 0.0000
Ga 2.4145 0.0000 0.0000
Ga 0.0000 0.0000 2.4145
Be 0.0000 0.0000 0.0000
```

## Properties
Energy above the lowest structure with this stoichiometry, meV per atom: 0
Spin magnetization, μB/atom: 0.0000
Formation energy, eV/atom: -0.02
DFT total energy, eV per formula unit: -14.824



No. 6
Density functional theory data (PBE-GGA) for crystalline BaBe3Ga at its relaxed geometry.

```
5
Lattice="-4.6744 0.3321 -3.1898 -3.1941 0.0244 4.6832 0.2881 5.6590 0.1670" Properties=species:S:1:pos:R:3 pbc="T T T"
Ga -3.7902 3.0077 0.8302
Be -2.3372 0.1660 -1.5949
Be 0.1440 2.8295 0.0835
Be -1.5971 0.0122 2.3416
Ba 0.0000 0.0000 0.0000
```

## Properties
Energy above the lowest structure with this stoichiometry, meV per atom: 1508
Spin magnetization, μB/atom: 0.0718
Formation energy, eV/atom: 2.10
DFT total energy, eV per formula unit: -5.615



No. 7
Density functional theory data (PBE-GGA) for crystalline BaBeGa2 at its relaxed geometry.

```
8
Lattice="-3.1569 -1.8871 3.5622 -0.4035 -4.3539 -2.6641 4.4418 -6.1040 4.3826" Properties=species:S:1:pos:R:3 pbc="T T T"
Be -1.7802 -3.1205 0.4491
Be 1.1291 -6.7892 1.0838
Ga 0.3170 -8.9493 4.7395
Ba 0.0000 0.0000 0.0000
Ga 1.8953 -8.0079 2.9571
Ga -0.3263 -4.9553 0.7673
Ga -0.1230 -2.7774 2.0976
Ba -0.2476 -5.5558 4.1969
```

## Properties
Spin magnetization, μB/atom: 0.0000
Formation energy, eV/atom: -0.09
DFT total energy, eV per formula unit: -12.049



No. 8
Density functional theory data (PBE-GGA) for crystalline BaBe3Ga at its relaxed geometry.

```
5
Lattice="-0.8198 1.3314 -4.2847 -4.3272 0.9170 1.1129 1.1863 4.2650 1.0983" Properties=species:S:1:pos:R:3 pbc="T T T"
Be -2.1636 0.4585 0.5564
Ba -1.9804 3.2567 -1.0368
Be -0.4099 0.6657 -2.1424
Ga 0.0000 0.0000 0.0000
Be 0.5931 2.1325 0.5491
```

## Properties
Energy above the lowest structure with this stoichiometry, meV per atom: 0
Spin magnetization, μB/atom: 0.0000
Formation energy, eV/atom: 0.59
DFT total energy, eV per formula unit: -13.155



No. 9
Density functional theory data (PBE-GGA) for crystalline BaBeGa2Ge at its relaxed geometry.

```
5
Lattice="-5.2819 -1.1383 0.8409 0.2678 -3.2552 -2.7243 1.3727 -3.3303 4.1142" Properties=species:S:1:pos:R:3 pbc="T T T"
Ge 0.0000 0.0000 0.0000
Be 0.1339 -1.6276 -1.3622
Ba -1.8207 -3.8619 1.1154
Ga 0.6863 -1.6651 2.0571
Ga -2.6410 -0.5691 0.4205
```

## Properties
Spin magnetization, μB/atom: 0.0000
Formation energy, eV/atom: 0.18
DFT total energy, eV per formula unit: -15.423



No. 10
Density functional theory data (PBE-GGA) for crystalline BaBe2InGa at its relaxed geometry.

```
5
Lattice="4.6635 0.0000 0.0000 0.0000 5.5215 0.0000 0.0000 0.0000 4.6635" Properties=species:S:1:pos:R:3 pbc="T T T"
Ba 2.3317 2.7607 2.3317
In 0.0000 2.7607 0.0000
Be 0.0000 0.0000 2.3317
Be 2.3317 0.0000 0.0000
Ga 0.0000 0.0000 0.0000
```

## Properties
Spin magnetization, μB/atom: 0.0000
Formation energy, eV/atom: 0.44
DFT total energy, eV per formula unit: -12.919



No. 11
Density functional theory data (PBE-GGA) for crystalline BaLi2BeGa at its relaxed geometry.

```
5
Lattice="-1.8956 1.5743 -4.3904 -0.3931 -4.7762 -1.5429 -4.1053 -0.2104 1.6971" Properties=species:S:1:pos:R:3 pbc="T T T"
Be 0.0000 0.0000 0.0000
Ba -3.1970 -1.7061 -2.1181
Ga -2.0526 -0.1052 0.8485
Li -0.9478 0.7871 -2.1952
Li -0.1965 -2.3881 -0.7714
```

## Properties
Spin magnetization, μB/atom: 0.0003
Formation energy, eV/atom: 0.01
DFT total energy, eV per formula unit: -12.449



No. 12
Density functional theory data (PBE-GGA) for crystalline BaBeGaMo2 at its relaxed geometry.

```
5
Lattice="4.9806 0.0000 0.0000 0.0000 4.3250 0.0000 0.0000 0.0000 4.9806" Properties=species:S:1:pos:R:3 pbc="T T T"
Mo 2.4903 0.0000 0.0000
Ba 2.4903 2.1625 2.4903
Mo 0.0000 0.0000 2.4903
Be 0.0000 2.1625 0.0000
Ga 0.0000 0.0000 0.0000
```

## Properties
Energy above the lowest structure with this stoichiometry, meV per atom: 286
Spin magnetization, μB/atom: 0.5802
Formation energy, eV/atom: 1.20
DFT total energy, eV per formula unit: -24.362



No. 13
Density functional theory data (PBE-GGA) for crystalline BaBeGaMo2 at its relaxed geometry.

```
5
Lattice="-4.0423 1.1654 2.0044 -2.0427 -0.5041 -3.8266 -0.7898 -4.4798 1.0118" Properties=species:S:1:pos:R:3 pbc="T T T"
Be 0.0000 0.0000 0.0000
Mo -2.0212 0.5827 1.0022
Ba -3.4374 -1.9092 -0.4052
Ga -1.0214 -0.2520 -1.9133
Mo -0.3949 -2.2399 0.5059
```

## Properties
Energy above the lowest structure with this stoichiometry, meV per atom: 0
Spin magnetization, μB/atom: 0.2425
Formation energy, eV/atom: 0.91
DFT total energy, eV per formula unit: -25.790



No. 14
Density functional theory data (PBE-GGA) for crystalline BaBeNb2Ga at its relaxed geometry.

```
5
Lattice="4.9369 0.0000 0.0000 0.0000 5.8936 0.0000 0.0000 0.0000 4.9369" Properties=species:S:1:pos:R:3 pbc="T T T"
Nb 2.4685 0.0000 0.0000
Be 2.4685 2.9468 2.4685
Ba 0.0000 2.9468 0.0000
Nb 0.0000 0.0000 2.4685
Ga 0.0000 0.0000 0.0000
```

## Properties
Spin magnetization, μB/atom: 0.5827
Formation energy, eV/atom: 1.45
DFT total energy, eV per formula unit: -21.557



No. 15
Density functional theory data (PBE-GGA) for crystalline Ba2Be2GaO6 at its relaxed geometry.

```
11
Lattice="-4.9969 -0.7774 2.1786 -4.2496 -1.2986 -3.2518 -1.9727 -5.9746 0.3020" Properties=species:S:1:pos:R:3 pbc="T T T"
O -5.3480 -2.2661 0.8421
O -7.4192 -2.8990 -0.7427
O -6.2355 -5.5304 1.0333
O -5.8712 -5.7844 -1.6134
Ba -8.4993 -5.6340 -0.6289
O -4.9838 -2.5201 -1.8045
Be -5.3111 -5.4466 -0.2081
Be -5.9081 -2.6038 -0.5631
Ba -2.7200 -2.4165 -0.1424
Ga 0.0000 0.0000 0.0000
O -3.8001 -5.1515 -0.0285
```

## Properties
Spin magnetization, μB/atom: 0.0888
Formation energy from raw total energies, eV/atom: -2.28
DFT total energy, eV per formula unit: -69.168



No. 16
Density functional theory data (PBE-GGA) for crystalline BaBeGa2Os at its relaxed geometry.

```
5
Lattice="4.8563 0.0000 0.0000 0.0000 4.8563 0.0000 0.0000 0.0000 4.6314" Properties=species:S:1:pos:R:3 pbc="T T T"
Ga 2.4281 0.0000 0.0000
Os 0.0000 0.0000 0.0000
Ga 0.0000 2.4281 0.0000
Ba 2.4281 2.4281 2.3157
Be 0.0000 0.0000 2.3157
```

## Properties
Spin magnetization, μB/atom: 0.0000
Formation energy, eV/atom: -0.24
DFT total energy, eV per formula unit: -24.154



No. 17
Density functional theory data (PBE-GGA) for crystalline BaBeGa2Ru at its relaxed geometry.

```
5
Lattice="4.8439 0.0000 0.0000 0.0000 4.8439 0.0000 0.0000 0.0000 4.6148" Properties=species:S:1:pos:R:3 pbc="T T T"
Be 0.0000 0.0000 2.3074
Ba 2.4220 2.4220 2.3074
Ga 2.4220 0.0000 0.0000
Ru 0.0000 0.0000 0.0000
Ga 0.0000 2.4220 0.0000
```

## Properties
Spin magnetization, μB/atom: 0.0000
Formation energy, eV/atom: -0.29
DFT total energy, eV per formula unit: -22.418



No. 18
Density functional theory data (PBE-GGA) for crystalline Ba2BeGaS at its relaxed geometry.

```
5
Lattice="6.2274 0.0000 0.0000 0.0000 3.8758 0.0000 0.0000 0.0000 6.2274" Properties=species:S:1:pos:R:3 pbc="T T T"
Be 0.0000 0.0000 0.0000
Ga 3.1137 1.9379 3.1137
S 0.0000 1.9379 0.0000
Ba 3.1137 0.0000 0.0000
Ba 0.0000 0.0000 3.1137
```

## Properties
Spin magnetization, μB/atom: 0.0000
Formation energy from raw total energies, eV/atom: -0.18
DFT total energy, eV per formula unit: -15.634



No. 19
Density functional theory data (PBE-GGA) for crystalline Ba2SrBeGa at its relaxed geometry.

```
5
Lattice="-1.8722 -5.5447 2.4433 5.8716 -1.7120 0.6140 0.1266 2.5209 5.8179" Properties=species:S:1:pos:R:3 pbc="T T T"
Ba -0.9361 -2.7724 1.2217
Sr 2.9358 -0.8560 0.3070
Ga 0.0000 0.0000 0.0000
Be 2.0630 -2.3679 4.4376
Ba 0.0633 1.2605 2.9089
```

## Properties
Spin magnetization, μB/atom: 0.2805
Formation energy, eV/atom: 0.51
DFT total energy, eV per formula unit: -9.725



No. 20
Density functional theory data (PBE-GGA) for crystalline BaZr2BeGa at its relaxed geometry.

```
5
Lattice="4.9234 0.0000 0.0000 0.0000 5.4209 0.0000 0.0000 0.0000 4.9234" Properties=species:S:1:pos:R:3 pbc="T T T"
Ga 2.4617 2.7104 2.4617
Be 0.0000 0.0000 0.0000
Zr 0.0000 0.0000 2.4617
Zr 2.4617 0.0000 0.0000
Ba 0.0000 2.7104 0.0000
```

## Properties
Spin magnetization, μB/atom: 0.0000
Formation energy, eV/atom: 0.61
DFT total energy, eV per formula unit: -22.727



No. 21
Density functional theory data (PBE-GGA) for crystalline BaBe2Ge at its relaxed geometry.

```
8
Lattice="4.8609 0.0000 0.0000 0.0000 4.8609 0.0000 2.4304 2.4304 7.6566" Properties=species:S:1:pos:R:3 pbc="T T T"
Ba 0.0000 0.0000 0.0000
Be 2.4296 1.2152 1.9141
Be 3.6457 4.8617 5.7424
Ge 2.4304 2.4304 0.0000
Ge 2.4304 4.8609 3.8283
Ba 4.8609 2.4304 3.8283
Be 6.0761 4.8601 5.7424
Be 2.4312 3.6457 1.9141
```

## Properties
Spin magnetization, μB/atom: 0.0000
Formation energy, eV/atom: 0.11
DFT total energy, eV per formula unit: -13.561



No. 22
Density functional theory data (PBE-GGA) for crystalline BaBeGe3 at its relaxed geometry.

```
5
Lattice="-1.9506 -4.1452 1.4558 -1.0603 -1.1016 -4.5573 4.2636 -2.1704 -0.4673" Properties=species:S:1:pos:R:3 pbc="T T T"
Be 0.0000 0.0000 0.0000
Ba 0.6264 -3.7086 -1.7844
Ge -0.9753 -2.0726 0.7279
Ge 2.1318 -1.0852 -0.2336
Ge -0.5301 -0.5508 -2.2787
```

## Properties
Energy above the lowest structure with this stoichiometry, meV per atom: 0
Spin magnetization, μB/atom: 0.0000
Formation energy, eV/atom: 0.04
DFT total energy, eV per formula unit: -19.283



No. 23
Density functional theory data (PBE-GGA) for crystalline BaBeGe3 at its relaxed geometry.

```
5
Lattice="-2.0646 4.1423 3.5563 -3.3050 -3.9746 2.7108 4.3455 -1.0548 3.7514" Properties=species:S:1:pos:R:3 pbc="T T T"
Ba 0.0000 0.0000 0.0000
Ge 2.1727 -0.5274 1.8757
Ge -1.0323 2.0712 1.7781
Ge -1.6525 -1.9873 1.3554
Be -0.5121 -0.4435 5.0092
```

## Properties
Energy above the lowest structure with this stoichiometry, meV per atom: 1787
Spin magnetization, μB/atom: 0.0000
Formation energy, eV/atom: 1.83
DFT total energy, eV per formula unit: -10.350



No. 24
Density functional theory data (PBE-GGA) for crystalline Ba3BeGe at its relaxed geometry.

```
5
Lattice="-3.8653 1.1152 -4.3595 3.1270 -3.4671 -3.6593 -3.2359 -4.6824 1.6713" Properties=species:S:1:pos:R:3 pbc="T T T"
Ba -1.6179 -2.3412 0.8356
Ba 1.5635 -1.7335 -1.8297
Ba -1.9326 0.5576 -2.1797
Be 0.0000 0.0000 0.0000
Ge -1.9871 -3.5171 -3.1738
```

## Properties
Spin magnetization, μB/atom: 0.0001
Formation energy, eV/atom: 0.37
DFT total energy, eV per formula unit: -12.253



No. 25
Density functional theory data (PBE-GGA) for crystalline Ba2BeGe2 at its relaxed geometry.

```
10
Lattice="7.1306 0.0000 0.0000 0.0000 7.1306 0.0000 0.0000 0.0000 5.3457" Properties=species:S:1:pos:R:3 pbc="T T T"
Be 0.0000 0.0000 0.0000
Ba 4.8014 5.8945 2.6729
Ge 6.1722 4.5237 0.0000
Ge 2.6069 6.1722 0.0000
Ge 4.5237 0.9584 0.0000
Be 3.5653 3.5653 0.0000
Ba 5.8945 2.3292 2.6729
Ba 2.3292 1.2361 2.6729
Ba 1.2361 4.8014 2.6729
Ge 0.9584 2.6069 0.0000
```

## Properties
Spin magnetization, μB/atom: 0.0000
Formation energy, eV/atom: -0.03
DFT total energy, eV per formula unit: -16.942



No. 26
Density functional theory data (PBE-GGA) for crystalline BaBeGe2 at its relaxed geometry.

```
8
Lattice="5.1889 0.0000 0.0000 0.0000 5.1889 0.0000 2.5944 2.5944 7.7048" Properties=species:S:1:pos:R:3 pbc="T T T"
Be 2.5944 5.1889 3.8524
Ba 5.1889 2.5944 3.8524
Ge 6.4861 5.1891 5.7786
Be 2.5944 2.5944 0.0000
Ge 2.5942 3.8917 1.9262
Ge 2.5946 1.2972 1.9262
Ge 3.8917 5.1887 5.7786
Ba 0.0000 0.0000 0.0000
```

## Properties
Spin magnetization, μB/atom: 0.0000
Formation energy, eV/atom: -0.18
DFT total energy, eV per formula unit: -15.598



No. 27
Density functional theory data (PBE-GGA) for crystalline BaBe2GeH at its relaxed geometry.

```
5
Lattice="4.0981 0.0000 0.0000 0.0000 6.2918 0.0000 0.0000 0.0000 4.0981" Properties=species:S:1:pos:R:3 pbc="T T T"
H 0.0000 3.1459 0.0000
Ba 2.0490 3.1459 2.0490
Be 2.0490 0.0000 0.0000
Be 0.0000 0.0000 2.0490
Ge 0.0000 0.0000 0.0000
```

## Properties
Spin magnetization, μB/atom: 0.0000
DFT total energy, eV per formula unit: -15.662



No. 28
Density functional theory data (PBE-GGA) for crystalline BaBe2GeI at its relaxed geometry.

```
5
Lattice="6.1983 0.0000 0.0000 0.0000 6.2314 0.0000 0.0000 0.0000 6.1983" Properties=species:S:1:pos:R:3 pbc="T T T"
Be 3.0992 0.0000 0.0000
I 3.0992 3.1157 3.0992
Ge 0.0000 3.1157 0.0000
Ba 0.0000 0.0000 0.0000
Be 0.0000 0.0000 3.0992
```

## Properties
Spin magnetization, μB/atom: 0.3423
Formation energy from raw total energies, eV/atom: 1.58
DFT total energy, eV per formula unit: -7.625